Record 1
A plane-wave DFT calculation with PBE was carried out for a relaxed structure of LiNi5Ge3.

Cell lengths 6.021, 6.021, 7.780 Å; angles 112.77, 112.77, 90.00 degrees
Sites, in units of the cell vectors:
Ni 0.000 0.000 0.000
Ni 0.082 0.582 0.696
Ni 0.582 0.613 0.696
Ni 0.500 0.500 0.000
Ni 0.113 0.082 0.696
Li 0.250 0.750 0.500
Ni 0.613 0.113 0.696
Ge 0.365 0.865 0.000
Ge 0.135 0.365 0.000
Ge 0.635 0.135 0.000
Li 0.750 0.250 0.500
Ge 0.750 0.750 0.500
Ni 0.887 0.918 0.304
Ni 0.387 0.887 0.304
Ni 0.418 0.387 0.304
Ni 0.918 0.418 0.304
Ge 0.865 0.635 0.000
Ge 0.250 0.250 0.500

Output
energy of formation from the pure elements = -62 meV/atom
calculated volume = 13.11 Å³/atom
spin magnetization = 0.00 μB per atom
polymorph energy (0 for the lowest one) = 236 meV/atom

Record 2
A plane-wave DFT calculation with PBE was carried out for a relaxed structure of BaCuSb2.

Cell lengths 5.870, 5.870, 5.870 Å; angles 130.51, 130.51, 72.59 degrees
Sites, in units of the cell vectors:
Sb 0.000 0.000 0.000
Ba 0.500 0.500 0.000
Sb 0.250 0.750 0.500
Cu 0.750 0.250 0.500

Output
formation energy from raw total energies = -4.9 kJ per mole of atoms
calculated volume = 28.56 Å³/atom
spin magnetization = 0.00 μB per atom

Record 3
A plane-wave DFT calculation with PBE was carried out for a relaxed structure of Ce2UMnN5.

Cell lengths 5.668, 6.415, 6.415 Å; angles 90.00, 90.00, 90.00 degrees
Sites, in units of the cell vectors:
N 0.781 0.656 0.844
N 0.219 0.344 0.156
Ce 0.500 0.164 0.336
Mn 0.000 0.500 0.000
N 0.500 0.500 0.500
N 0.781 0.156 0.656
U 0.000 0.000 0.000
N 0.219 0.156 0.656
Ce 0.500 0.664 0.164
Mn 0.000 0.000 0.500
Ce 0.500 0.336 0.836
N 0.500 0.000 0.000
U 0.000 0.500 0.500
N 0.781 0.844 0.344
Ce 0.500 0.836 0.664
N 0.219 0.844 0.344
N 0.219 0.656 0.844
N 0.781 0.344 0.156

Output
formation energy from raw total energies = -86.7 kJ per mole of atoms
calculated volume = 12.96 Å³/atom
spin magnetization = 0.47 μB per atom

Record 4
A plane-wave DFT calculation with PBE was carried out for a relaxed structure of BaAl3Ag2.

Cell lengths 4.513, 5.799, 5.799 Å; angles 120.00, 90.00, 90.00 degrees
Sites, in units of the cell vectors:
Ag 0.000 0.335 0.667
Al 0.500 0.501 0.500
Al 0.500 0.501 0.000
Ag 0.000 0.668 0.333
Al 0.500 0.001 0.500
Ba 0.000 0.001 0.000

Output
energy of formation from the pure elements = -248 meV/atom
calculated volume = 21.90 Å³/atom
spin magnetization = 0.00 μB per atom
polymorph energy (0 for the lowest one) = 0 meV/atom

Record 5
A plane-wave DFT calculation with PBE was carried out for a relaxed structure of Si2BiIrO.

Cell lengths 5.012, 3.741, 5.012 Å; angles 90.00, 90.00, 90.00 degrees
Sites, in units of the cell vectors:
Si 0.500 0.000 0.000
O 0.000 0.500 0.000
Si 0.000 0.000 0.500
Bi 0.500 0.500 0.500
Ir 0.000 0.000 0.000

Output
formation energy from raw total energies = 11.8 kJ per mole of atoms
calculated volume = 18.80 Å³/atom
spin magnetization = 0.00 μB per atom

Record 6
A plane-wave DFT calculation with PBE was carried out for a relaxed structure of La3Se.

Cell lengths 6.213, 6.213, 6.213 Å; angles 143.40, 115.39, 76.61 degrees
Sites, in units of the cell vectors:
La 0.448 0.447 0.001
Se 0.493 0.750 0.743
La 0.054 0.053 0.001
La 0.838 0.250 0.588

Output
formation energy from raw total energies = -78.3 kJ per mole of atoms
calculated volume = 31.58 Å³/atom
spin magnetization = 0.00 μB per atom

Record 7
A plane-wave DFT calculation with PBE was carried out for a relaxed structure of Zn2CoOs.

Cell lengths 4.533, 4.533, 4.667 Å; angles 80.15, 80.15, 33.75 degrees
Sites, in units of the cell vectors:
Zn 0.505 0.505 0.490
Co 0.250 0.250 0.250
Os 0.750 0.750 0.750
Zn 0.995 0.995 0.010

Output
energy of formation from the pure elements = 147 meV/atom
calculated volume = 13.11 Å³/atom
spin magnetization = 0.14 μB per atom
polymorph energy (0 for the lowest one) = 77 meV/atom

Record 8
A plane-wave DFT calculation with PBE was carried out for a relaxed structure of Y2Re2Se.

Cell lengths 5.635, 5.635, 5.467 Å; angles 58.98, 58.98, 90.00 degrees
Sites, in units of the cell vectors:
Y 0.250 0.750 0.500
Re 0.340 0.340 0.320
Y 0.750 0.250 0.500
Re 0.660 0.660 0.680
Se 0.000 0.000 0.000

Output
formation energy from raw total energies = 38.2 kJ per mole of atoms
calculated volume = 23.77 Å³/atom
spin magnetization = 0.00 μB per atom
polymorph energy (0 for the lowest one) = 339 meV/atom

Record 9
A plane-wave DFT calculation with PBE was carried out for a relaxed structure of LaNdGe.

Cell lengths 4.402, 8.259, 8.259 Å; angles 120.00, 90.00, 90.00 degrees
Sites, in units of the cell vectors:
La 0.500 0.588 0.000
Ge 0.000 0.333 0.667
La 0.500 0.412 0.412
Nd 0.000 0.264 0.000
La 0.500 0.000 0.588
Nd 0.000 0.736 0.736
Nd 0.000 0.000 0.264
Ge 0.000 0.667 0.333
Ge 0.500 0.000 0.000

Output
energy of formation from the pure elements = -627 meV/atom
calculated volume = 28.90 Å³/atom
spin magnetization = 0.15 μB per atom
polymorph energy (0 for the lowest one) = 0 meV/atom

Record 10
A plane-wave DFT calculation with PBE was carried out for a relaxed structure of ZrMn2Os.

Cell lengths 2.834, 3.611, 5.872 Å; angles 90.00, 90.00, 90.00 degrees
Sites, in units of the cell vectors:
Os 0.500 0.500 0.250
Mn 0.000 0.000 0.032
Mn 0.000 0.000 0.468
Zr 0.500 0.500 0.750

Output
energy of formation from the pure elements = 133 meV/atom
calculated volume = 15.03 Å³/atom
spin magnetization = 0.98 μB per atom
polymorph energy (0 for the lowest one) = 139 meV/atom

Record 11
A plane-wave DFT calculation with PBE was carried out for a relaxed structure of Tl2HgW.

Cell lengths 3.125, 4.523, 6.275 Å; angles 90.00, 90.00, 90.00 degrees
Sites, in units of the cell vectors:
Tl 0.000 0.000 0.485
Tl 0.000 0.000 0.015
Hg 0.500 0.500 0.750
W 0.500 0.500 0.250

Output
energy of formation from the pure elements = 938 meV/atom
calculated volume = 22.18 Å³/atom
spin magnetization = 0.00 μB per atom
polymorph energy (0 for the lowest one) = 222 meV/atom

Record 12
A plane-wave DFT calculation with PBE was carried out for a relaxed structure of MnSnIrS.

Cell lengths 3.034, 3.034, 7.970 Å; angles 90.00, 90.00, 120.00 degrees
Sites, in units of the cell vectors:
Mn 0.333 0.667 0.898
Sn 0.000 0.000 0.174
S 0.667 0.333 0.733
Ir 0.667 0.333 0.439

Output
formation energy from raw total energies = -6.3 kJ per mole of atoms
calculated volume = 15.88 Å³/atom
spin magnetization = 0.22 μB per atom
polymorph energy (0 for the lowest one) = 133 meV/atom

Record 13
A plane-wave DFT calculation with PBE was carried out for a relaxed structure of CaHoPu4.

Cell lengths 6.324, 6.324, 6.324 Å; angles 60.00, 60.00, 60.00 degrees
Sites, in units of the cell vectors:
Pu 0.626 0.626 0.626
Pu 0.626 0.123 0.626
Pu 0.626 0.626 0.123
Pu 0.123 0.626 0.626
Ca 0.250 0.250 0.250
Ho 0.000 0.000 0.000

Output
energy of formation from the pure elements = 304 meV/atom
calculated volume = 29.81 Å³/atom
spin magnetization = 4.12 μB per atom

Record 14
A plane-wave DFT calculation with PBE was carried out for a relaxed structure of AcThHgRu.

Cell lengths 4.177, 4.176, 8.430 Å; angles 90.00, 104.30, 119.98 degrees
Sites, in units of the cell vectors:
Ru 0.319 0.557 0.893
Th 0.099 0.947 0.061
Ac 0.502 0.149 0.665
Hg 0.959 0.378 0.351

Output
energy of formation from the pure elements = -353 meV/atom
calculated volume = 30.52 Å³/atom
spin magnetization = 0.00 μB per atom

Record 15
A plane-wave DFT calculation with PBE was carried out for a relaxed structure of TiFe2Re.

Cell lengths 2.947, 4.226, 4.226 Å; angles 90.00, 90.00, 90.00 degrees
Sites, in units of the cell vectors:
Ti 0.500 0.000 0.000
Re 0.500 0.500 0.500
Fe 0.000 0.000 0.500
Fe 0.000 0.500 0.000

Output
energy of formation from the pure elements = -117 meV/atom
calculated volume = 13.16 Å³/atom
spin magnetization = 0.71 μB per atom

Record 16
A plane-wave DFT calculation with PBE was carried out for a relaxed structure of Ti2FeTc2.

Cell lengths 6.375, 6.375, 3.867 Å; angles 90.00, 90.00, 90.00 degrees
Sites, in units of the cell vectors:
Ti 0.676 0.824 0.500
Ti 0.324 0.176 0.500
Fe 0.000 0.000 0.000
Ti 0.824 0.324 0.500
Tc 0.142 0.358 0.000
Tc 0.642 0.142 0.000
Fe 0.500 0.500 0.000
Tc 0.858 0.642 0.000
Tc 0.358 0.858 0.000
Ti 0.176 0.676 0.500

Output
energy of formation from the pure elements = 58 meV/atom
calculated volume = 15.72 Å³/atom
spin magnetization = 0.48 μB per atom

Record 17
A plane-wave DFT calculation with PBE was carried out for a relaxed structure of K2PbAu.

Cell lengths 3.687, 3.687, 9.932 Å; angles 90.00, 90.00, 90.00 degrees
Sites, in units of the cell vectors:
Pb 0.500 0.500 0.250
K 0.000 0.000 0.536
Au 0.500 0.500 0.750
K 0.000 0.000 0.964

Output
energy of formation from the pure elements = -147 meV/atom
calculated volume = 33.75 Å³/atom
spin magnetization = 0.00 μB per atom

Record 18
A plane-wave DFT calculation with PBE was carried out for a relaxed structure of DyEr3S6.

Cell lengths 3.920, 10.959, 11.221 Å; angles 108.79, 90.00, 90.00 degrees
Sites, in units of the cell vectors:
S 0.250 0.082 0.902
S 0.750 0.112 0.463
S 0.750 0.477 0.613
S 0.250 0.256 0.724
Er 0.750 0.161 0.084
S 0.750 0.397 0.063
Er 0.250 0.318 0.497
S 0.250 0.192 0.249
S 0.750 0.808 0.751
S 0.250 0.888 0.537
S 0.750 0.918 0.098
S 0.250 0.603 0.937
S 0.250 0.523 0.387
Er 0.250 0.839 0.916
Er 0.750 0.682 0.503
Dy 0.750 0.045 0.691
S 0.750 0.744 0.276
Er 0.250 0.566 0.168
Er 0.750 0.434 0.832
Dy 0.250 0.955 0.309

Output
formation energy from raw total energies = -200.0 kJ per mole of atoms
calculated volume = 22.81 Å³/atom
spin magnetization = 0.00 μB per atom

Record 19
A plane-wave DFT calculation with PBE was carried out for a relaxed structure of Ce4SbN2.

Cell lengths 3.864, 6.450, 12.697 Å; angles 90.00, 90.00, 107.43 degrees
Sites, in units of the cell vectors:
N 0.865 0.730 0.556
Sb 0.399 0.798 0.250
Ce 0.096 0.193 0.250
Ce 0.904 0.807 0.750
Ce 0.763 0.526 0.399
N 0.135 0.270 0.444
Ce 0.237 0.474 0.899
N 0.865 0.730 0.944
Ce 0.763 0.526 0.101
Ce 0.500 0.000 0.500
Ce 0.500 0.000 0.000
Sb 0.601 0.202 0.750
Ce 0.237 0.474 0.601
N 0.135 0.270 0.056

Output
formation energy from raw total energies = -102.3 kJ per mole of atoms
calculated volume = 21.57 Å³/atom
spin magnetization = 0.37 μB per atom

Record 20
A plane-wave DFT calculation with PBE was carried out for a relaxed structure of TbZn3Ag10.

Cell lengths 9.187, 9.187, 9.187 Å; angles 60.00, 60.00, 60.00 degrees
Sites, in units of the cell vectors:
Ag 0.347 0.000 0.000
Ag 0.653 0.000 0.347
Ag 0.000 0.347 0.000
Ag 0.619 0.619 0.619
Tb 0.250 0.250 0.250
Ag 0.856 0.381 0.381
Ag 0.381 0.381 0.381
Ag 0.000 0.347 0.653
Ag 0.144 0.619 0.619
Ag 0.347 0.000 0.653
Zn 0.269 0.269 0.731
Ag 0.653 0.000 0.000
Ag 0.381 0.856 0.381
Ag 0.619 0.619 0.144
Tb 0.750 0.750 0.750
Ag 0.000 0.000 0.653
Zn 0.731 0.269 0.269
Ag 0.000 0.653 0.347
Zn 0.269 0.731 0.269
Ag 0.000 0.653 0.000
Ag 0.347 0.653 0.000
Zn 0.731 0.731 0.269
Ag 0.381 0.381 0.856
Ag 0.619 0.144 0.619
Ag 0.653 0.347 0.000
Zn 0.731 0.269 0.731
Zn 0.269 0.731 0.731
Ag 0.000 0.000 0.347

Output
energy of formation from the pure elements = 61 meV/atom
calculated volume = 19.58 Å³/atom
spin magnetization = 0.00 μB per atom

Record 21
A plane-wave DFT calculation with PBE was carried out for a relaxed structure of CaPr2Se4.

Cell lengths 4.197, 7.282, 14.344 Å; angles 90.00, 90.00, 106.75 degrees
Sites, in units of the cell vectors:
Se 0.225 0.449 0.621
Se 0.970 0.940 0.750
Pr 0.134 0.268 0.073
Se 0.225 0.449 0.879
Se 0.030 0.060 0.250
Se 0.775 0.551 0.379
Ca 0.615 0.230 0.750
Pr 0.866 0.732 0.927
Se 0.775 0.551 0.121
Se 0.500 0.000 0.500
Ca 0.385 0.770 0.250
Pr 0.134 0.268 0.427
Se 0.500 0.000 0.000
Pr 0.866 0.732 0.573

Output
formation energy from raw total energies = -180.1 kJ per mole of atoms
calculated volume = 29.99 Å³/atom
spin magnetization = 0.00 μB per atom
polymorph energy (0 for the lowest one) = 60 meV/atom

Record 22
A plane-wave DFT calculation with PBE was carried out for a relaxed structure of Ac2HgGe3Au4.

Cell lengths 4.589, 4.589, 11.040 Å; angles 90.00, 90.00, 90.00 degrees
Sites, in units of the cell vectors:
Ge 0.500 0.000 0.875
Hg 0.500 0.500 0.500
Au 0.500 0.500 0.000
Au 0.500 0.000 0.645
Au 0.000 0.000 0.000
Ac 0.000 0.500 0.761
Ac 0.500 0.000 0.239
Au 0.000 0.500 0.355
Ge 0.000 0.500 0.125
Ge 0.000 0.000 0.500

Output
energy of formation from the pure elements = -558 meV/atom
calculated volume = 23.25 Å³/atom
spin magnetization = 0.00 μB per atom

Record 23
A plane-wave DFT calculation with PBE was carried out for a relaxed structure of ErTh2N.

Cell lengths 3.513, 3.513, 9.953 Å; angles 79.84, 79.84, 60.00 degrees
Sites, in units of the cell vectors:
Er 0.000 0.000 0.000
Th 0.116 0.116 0.653
Th 0.884 0.884 0.347
N 0.500 0.500 0.500

Output
formation energy from raw total energies = -43.2 kJ per mole of atoms
calculated volume = 26.03 Å³/atom
spin magnetization = 0.00 μB per atom

Record 24
A plane-wave DFT calculation with PBE was carried out for a relaxed structure of DySbRh2.

Cell lengths 3.706, 4.483, 4.483 Å; angles 90.00, 90.00, 90.00 degrees
Sites, in units of the cell vectors:
Rh 0.000 0.500 0.000
Rh 0.000 0.000 0.500
Dy 0.500 0.500 0.500
Sb 0.500 0.000 0.000

Output
formation energy from raw total energies = -68.9 kJ per mole of atoms
calculated volume = 18.62 Å³/atom
spin magnetization = 0.00 μB per atom